Entry 1:
## DyCoHg (PBE)

Data for a relaxed structure of DyCoHg.

Cell lengths 3.866, 5.060, 6.686 Å; angles 101.56, 106.81, 90.00 degrees
Fractional coordinates of all 6 atoms:
Co1 0.769 0.119 0.537
Co2 0.231 0.881 0.463
Hg1 0.575 0.780 0.150
Hg2 0.425 0.220 0.850
Dy1 0.865 0.676 0.730
Dy2 0.135 0.324 0.270

Output
formation enthalpy at 0 K: -5.5 kcal/mol of atoms
N(E_F): 2.03 states/eV/f.u.


Entry 2:
## Dy12CoHg6 (PBE)

Data for a relaxed structure of Dy12CoHg6.

Cell lengths 8.177, 8.177, 8.177 Å; angles 94.10, 94.10, 94.10 degrees
Fractional coordinates of all 19 atoms:
Dy1 0.798 0.578 0.458
Dy2 0.458 0.798 0.578
Dy3 0.578 0.458 0.798
Dy4 0.202 0.422 0.542
Dy5 0.542 0.202 0.422
Dy6 0.422 0.542 0.202
Dy7 0.967 0.085 0.307
Dy8 0.915 0.693 0.033
Dy9 0.693 0.033 0.915
Dy10 0.033 0.915 0.693
Dy11 0.085 0.307 0.967
Dy12 0.307 0.967 0.085
Co1 0.000 0.000 0.000
Hg1 0.643 0.859 0.261
Hg2 0.739 0.357 0.141
Hg3 0.141 0.739 0.357
Hg4 0.357 0.141 0.739
Hg5 0.261 0.643 0.859
Hg6 0.859 0.261 0.643

Output
formation enthalpy at 0 K: -5.4 kcal/mol of atoms
N(E_F): 19.50 states/eV/f.u.


Entry 3:
## Dy6CoHg3 (PBE)

Data for a relaxed structure of Dy6CoHg3.

Cell lengths 6.362, 8.389, 10.406 Å; angles 90.00, 88.67, 90.00 degrees
Fractional coordinates of all 20 atoms:
Dy1 0.648 0.153 0.941
Dy2 0.618 0.207 0.567
Dy3 0.648 0.445 0.272
Dy4 0.352 0.555 0.728
Dy5 0.382 0.793 0.433
Dy6 0.352 0.847 0.059
Dy7 0.148 0.347 0.441
Dy8 0.118 0.293 0.067
Dy9 0.148 0.055 0.772
Dy10 0.852 0.945 0.228
Dy11 0.882 0.707 0.933
Dy12 0.852 0.653 0.559
Co1 0.500 0.500 0.500
Co2 0.000 0.000 0.000
Hg1 0.578 0.887 0.732
Hg2 0.500 0.500 0.000
Hg3 0.422 0.113 0.268
Hg4 0.078 0.613 0.232
Hg5 0.000 0.000 0.500
Hg6 0.922 0.387 0.768

Output
formation enthalpy at 0 K: -6.1 kcal/mol of atoms
N(E_F): 11.50 states/eV/f.u.
ΔE to the lowest computed polymorph: 0.32 eV per formula unit


Entry 4:
## Dy12Co6Hg (PBE)

Data for a relaxed structure of Dy12Co6Hg.

Cell lengths 8.337, 8.337, 8.337 Å; angles 109.47, 109.47, 109.47 degrees
Fractional coordinates of all 19 atoms:
Dy1 0.302 0.108 0.806
Dy2 0.302 0.496 0.194
Dy3 0.698 0.504 0.806
Dy4 0.698 0.892 0.194
Dy5 0.108 0.806 0.302
Dy6 0.496 0.194 0.302
Dy7 0.504 0.806 0.698
Dy8 0.892 0.194 0.698
Dy9 0.806 0.302 0.108
Dy10 0.194 0.302 0.496
Dy11 0.806 0.698 0.504
Dy12 0.194 0.698 0.892
Co1 0.387 0.500 0.887
Co2 0.613 0.500 0.113
Co3 0.500 0.887 0.387
Co4 0.500 0.113 0.613
Co5 0.887 0.387 0.500
Co6 0.113 0.613 0.500
Hg1 0.000 0.000 0.000

Output
formation enthalpy at 0 K: -5.5 kcal/mol of atoms
N(E_F): 14.88 states/eV/f.u.


Entry 5:
## Dy4Co2Hg5 (PBE)

Data for a relaxed structure of Dy4Co2Hg5.

Cell lengths 3.605, 7.569, 9.276 Å; angles 94.56, 90.00, 90.00 degrees
Fractional coordinates of all 11 atoms:
Dy1 0.500 0.782 0.567
Dy2 0.500 0.177 0.834
Dy3 0.500 0.218 0.433
Dy4 0.500 0.823 0.166
Co1 0.000 0.064 0.624
Co2 0.000 0.936 0.376
Hg1 0.000 0.556 0.335
Hg2 0.000 0.161 0.141
Hg3 0.000 0.500 0.000
Hg4 0.000 0.839 0.859
Hg5 0.000 0.444 0.665

Output
formation enthalpy at 0 K: -8.3 kcal/mol of atoms
N(E_F): 7.41 states/eV/f.u.


Entry 6:
## Dy3Co2Hg2 (PBE)

Data for a relaxed structure of Dy3Co2Hg2.

Cell lengths 3.800, 3.812, 10.789 Å; angles 90.00, 79.86, 90.00 degrees
Last column: magnetic moment on the atom in μB.
Fractional coordinates of all 7 atoms:
Dy1 0.825 0.000 0.350  -0.13
Dy2 0.000 0.000 0.000  -0.01
Dy3 0.175 0.000 0.650  -0.13
Co1 0.723 0.500 0.554  0.86
Co2 0.277 0.500 0.446  0.86
Hg1 0.586 0.500 0.827  -0.01
Hg2 0.414 0.500 0.173  -0.01

Output
formation enthalpy at 0 K: -8.4 kcal/mol of atoms
N(E_F): 6.75 states/eV/f.u.


Entry 7:
## Dy11Co4Hg9 (PBE)

Data for a relaxed structure of Dy11Co4Hg9.

Cell lengths 3.584, 12.883, 12.883 Å; angles 112.41, 90.00, 90.00 degrees
Fractional coordinates of all 24 atoms:
Dy1 0.000 0.582 0.913
Dy2 0.000 0.418 0.087
Dy3 0.000 0.913 0.582
Dy4 0.000 0.087 0.418
Dy5 0.000 0.627 0.373
Dy6 0.000 0.373 0.627
Dy7 0.000 0.836 0.164
Dy8 0.000 0.164 0.836
Dy9 0.000 0.000 0.000
Dy10 0.000 0.691 0.691
Dy11 0.000 0.309 0.309
Co1 0.500 0.547 0.745
Co2 0.500 0.453 0.255
Co3 0.500 0.745 0.547
Co4 0.500 0.255 0.453
Hg1 0.500 0.630 0.154
Hg2 0.500 0.370 0.846
Hg3 0.500 0.154 0.630
Hg4 0.500 0.846 0.370
Hg5 0.500 0.783 0.928
Hg6 0.500 0.217 0.072
Hg7 0.500 0.928 0.783
Hg8 0.500 0.072 0.217
Hg9 0.500 0.500 0.500

Output
formation enthalpy at 0 K: -9.2 kcal/mol of atoms
N(E_F): 19.64 states/eV/f.u.


Entry 8:
## Dy5CoHg2 (PBE)

Data for a relaxed structure of Dy5CoHg2.

Cell lengths 5.248, 8.379, 12.263 Å; angles 90.00, 90.00, 108.25 degrees
Fractional coordinates of all 16 atoms:
Dy1 0.923 0.846 0.895
Dy2 0.923 0.846 0.605
Dy3 0.304 0.608 0.419
Dy4 0.304 0.608 0.081
Dy5 0.703 0.407 0.250
Dy6 0.297 0.593 0.750
Dy7 0.696 0.392 0.581
Dy8 0.696 0.392 0.919
Dy9 0.077 0.154 0.105
Dy10 0.077 0.154 0.395
Co1 0.805 0.610 0.750
Co2 0.195 0.390 0.250
Hg1 0.887 0.774 0.366
Hg2 0.887 0.774 0.134
Hg3 0.113 0.226 0.634
Hg4 0.113 0.226 0.866

Output
formation enthalpy at 0 K: -0.3 kcal/mol of atoms
N(E_F): 7.87 states/eV/f.u.
ΔE to the lowest computed polymorph: 2.43 eV per formula unit


Entry 9:
## Dy6CoHg3 (PBE)

Data for a relaxed structure of Dy6CoHg3.

Cell lengths 5.285, 8.967, 11.267 Å; angles 108.25, 90.00, 90.00 degrees
Last column: magnetic moment on the atom in μB.
Fractional coordinates of all 20 atoms:
Dy1 0.250 0.476 0.088  0.00
Dy2 0.750 0.524 0.912  0.00
Dy3 0.250 0.122 0.149  0.00
Dy4 0.750 0.878 0.851  0.00
Dy5 0.250 0.686 0.662  -0.01
Dy6 0.750 0.314 0.338  -0.01
Dy7 0.250 0.223 0.502  -0.01
Dy8 0.750 0.777 0.498  -0.01
Dy9 0.250 0.854 0.343  -0.01
Dy10 0.750 0.146 0.657  -0.01
Dy11 0.250 0.112 0.845  -0.01
Dy12 0.750 0.888 0.155  -0.01
Co1 0.250 0.960 0.596  0.11
Co2 0.750 0.040 0.404  0.11
Hg1 0.250 0.502 0.369  0.00
Hg2 0.750 0.498 0.631  0.00
Hg3 0.250 0.417 0.785  0.00
Hg4 0.750 0.583 0.215  0.00
Hg5 0.250 0.778 0.976  0.00
Hg6 0.750 0.222 0.024  0.00

Output
formation enthalpy at 0 K: -6.8 kcal/mol of atoms
N(E_F): 7.27 states/eV/f.u.
ΔE to the lowest computed polymorph: 0.00 eV per formula unit


Entry 10:
## DyCoHg (PBE)

Data for a relaxed structure of DyCoHg.

Cell lengths 3.842, 3.912, 8.464 Å; angles 103.36, 90.00, 90.00 degrees
Last column: magnetic moment on the atom in μB.
Fractional coordinates of all 6 atoms:
Dy1 0.250 0.905 0.810  -0.14
Dy2 0.750 0.095 0.190  -0.14
Co1 0.250 0.534 0.069  0.72
Co2 0.750 0.466 0.931  0.72
Hg1 0.750 0.299 0.598  -0.01
Hg2 0.250 0.701 0.402  -0.01

Output
formation enthalpy at 0 K: -7.8 kcal/mol of atoms
N(E_F): 2.16 states/eV/f.u.


Entry 11:
## Dy6CoHg5 (PBE)

Data for a relaxed structure of Dy6CoHg5.

Cell lengths 5.150, 7.417, 8.901 Å; angles 65.37, 73.27, 90.00 degrees
Fractional coordinates of all 12 atoms:
Co1 0.000 0.000 0.000
Hg1 0.682 0.181 0.637
Hg2 0.334 0.334 0.332
Hg3 0.000 0.500 0.000
Hg4 0.666 0.666 0.668
Hg5 0.318 0.819 0.363
Dy1 0.844 0.611 0.311
Dy2 0.844 0.078 0.311
Dy3 0.500 0.775 0.000
Dy4 0.500 0.225 0.000
Dy5 0.156 0.922 0.689
Dy6 0.156 0.389 0.689

Output
formation enthalpy at 0 K: -9.7 kcal/mol of atoms
N(E_F): 7.62 states/eV/f.u.


Entry 12:
## Dy2Co2Hg (PBE)

Data for a relaxed structure of Dy2Co2Hg.

Cell lengths 3.908, 3.836, 7.070 Å; angles 105.74, 90.00, 90.00 degrees
Last column: magnetic moment on the atom in μB.
Fractional coordinates of all 5 atoms:
Dy1 0.500 0.636 0.273  -0.13
Dy2 0.500 0.364 0.727  -0.13
Co1 0.000 0.208 0.416  0.94
Co2 0.000 0.792 0.584  0.94
Hg1 0.000 0.000 0.000  -0.01

Output
formation enthalpy at 0 K: -7.6 kcal/mol of atoms
N(E_F): 4.80 states/eV/f.u.


Entry 13:
## Dy4Co2Hg (PBE)

Data for a relaxed structure of Dy4Co2Hg.

Cell lengths 9.000, 8.782, 7.139 Å; angles 125.63, 108.84, 107.07 degrees
Fractional coordinates of all 14 atoms:
Dy1 0.787 0.080 0.176
Dy2 0.462 0.549 0.291
Dy3 0.880 0.628 0.750
Dy4 0.881 0.290 0.842
Dy5 0.414 0.071 0.166
Dy6 0.365 0.975 0.565
Dy7 0.360 0.459 0.705
Dy8 0.857 0.774 0.337
Co1 0.624 0.380 0.760
Co2 0.555 0.863 0.277
Co3 0.680 0.352 0.154
Co4 0.203 0.623 0.959
Hg1 0.110 0.591 0.501
Hg2 0.071 0.115 0.017

Output
formation enthalpy at 0 K: -4.3 kcal/mol of atoms
N(E_F): 6.47 states/eV/f.u.


Entry 14:
## Dy5CoHg (PBE)

Data for a relaxed structure of Dy5CoHg.

Cell lengths 5.969, 5.969, 11.575 Å; angles 76.29, 76.29, 73.77 degrees
Fractional coordinates of all 14 atoms:
Dy1 0.926 0.592 0.127
Dy2 0.208 0.559 0.561
Dy3 0.592 0.926 0.627
Dy4 0.006 0.994 0.250
Dy5 0.441 0.792 0.939
Dy6 0.559 0.208 0.061
Dy7 0.994 0.006 0.750
Dy8 0.408 0.074 0.373
Dy9 0.792 0.441 0.439
Dy10 0.074 0.408 0.873
Co1 0.000 0.000 0.000
Co2 0.000 0.000 0.500
Hg1 0.424 0.576 0.250
Hg2 0.576 0.424 0.750

Output
formation enthalpy at 0 K: -2.4 kcal/mol of atoms
N(E_F): 7.46 states/eV/f.u.


Entry 15:
## Dy3CoHg2 (PBE)

Data for a relaxed structure of Dy3CoHg2.

Cell lengths 5.139, 7.113, 8.391 Å; angles 90.04, 107.83, 90.00 degrees
Fractional coordinates of all 12 atoms:
Dy1 0.513 0.250 0.000
Dy2 0.487 0.750 0.000
Dy3 0.132 0.000 0.265
Dy4 0.867 0.500 0.735
Dy5 0.133 0.500 0.265
Dy6 0.868 0.000 0.735
Co1 0.987 0.750 0.000
Co2 0.013 0.250 0.000
Hg1 0.695 0.750 0.389
Hg2 0.694 0.250 0.389
Hg3 0.306 0.750 0.611
Hg4 0.305 0.250 0.611

Output
formation enthalpy at 0 K: -7.4 kcal/mol of atoms
N(E_F): 4.77 states/eV/f.u.


Entry 16:
## Dy5CoHg4 (PBE)

Data for a relaxed structure of Dy5CoHg4.

Cell lengths 3.589, 3.589, 18.882 Å; angles 90.00, 90.00, 90.00 degrees
Last column: magnetic moment on the atom in μB.
Fractional coordinates of all 10 atoms:
Dy1 0.500 0.500 0.084  -0.15
Dy2 0.500 0.500 0.294  -0.04
Dy3 0.500 0.500 0.500  -0.04
Dy4 0.500 0.500 0.706  -0.04
Dy5 0.500 0.500 0.916  -0.15
Co1 0.000 0.000 0.000  1.06
Hg1 0.000 0.000 0.191  -0.01
Hg2 0.000 0.000 0.397  0.00
Hg3 0.000 0.000 0.603  0.00
Hg4 0.000 0.000 0.809  -0.01

Output
formation enthalpy at 0 K: -9.3 kcal/mol of atoms
N(E_F): 8.10 states/eV/f.u.


Entry 17:
## DyHoCoHg (PBE)

Data for a relaxed structure of DyHoCoHg.

Cell lengths 5.014, 5.014, 5.014 Å; angles 60.00, 60.00, 60.00 degrees
Last column: magnetic moment on the atom in μB.
Fractional coordinates of all 4 atoms:
Dy1 0.500 0.500 0.500  -0.17
Co1 0.250 0.250 0.250  1.07
Hg1 0.750 0.750 0.750  -0.02
Ho1 0.000 0.000 0.000  -0.17

Output
formation enthalpy at 0 K: -5.4 kcal/mol of atoms
N(E_F): 2.47 states/eV/f.u.


Entry 18:
## Dy5In2Co2Hg (PBE)

Data for a relaxed structure of Dy5In2Co2Hg.

Cell lengths 3.507, 11.732, 11.732 Å; angles 90.00, 90.00, 90.00 degrees
Fractional coordinates of all 20 atoms:
Dy1 0.500 0.212 0.074
Dy2 0.500 0.788 0.926
Dy3 0.500 0.074 0.788
Dy4 0.500 0.712 0.426
Dy5 0.500 0.926 0.212
Dy6 0.500 0.288 0.574
Dy7 0.500 0.574 0.712
Dy8 0.500 0.426 0.288
Dy9 0.500 0.500 0.000
Dy10 0.500 0.000 0.500
In1 0.000 0.676 0.176
In2 0.000 0.324 0.824
In3 0.000 0.176 0.324
In4 0.000 0.824 0.676
Co1 0.000 0.131 0.631
Co2 0.000 0.869 0.369
Co3 0.000 0.631 0.869
Co4 0.000 0.369 0.131
Hg1 0.000 0.000 0.000
Hg2 0.000 0.500 0.500

Output
formation enthalpy at 0 K: -7.6 kcal/mol of atoms
N(E_F): 7.49 states/eV/f.u.


Entry 19:
## LaDyCoHg (PBE)

Data for a relaxed structure of LaDyCoHg.

Cell lengths 5.166, 5.166, 5.166 Å; angles 60.00, 60.00, 60.00 degrees
Last column: magnetic moment on the atom in μB.
Fractional coordinates of all 4 atoms:
La1 0.500 0.500 0.500  -0.12
Co1 0.250 0.250 0.250  0.94
Hg1 0.750 0.750 0.750  -0.03
Dy1 0.000 0.000 0.000  -0.20

Output
formation enthalpy at 0 K: -3.7 kcal/mol of atoms
N(E_F): 3.41 states/eV/f.u.


Entry 20:
## DyLuCoHg (PBE)

Data for a relaxed structure of DyLuCoHg.

Cell lengths 4.971, 4.971, 4.971 Å; angles 60.00, 60.00, 60.00 degrees
Last column: magnetic moment on the atom in μB.
Fractional coordinates of all 4 atoms:
Lu1 0.500 0.500 0.500  -0.14
Co1 0.250 0.250 0.250  1.02
Hg1 0.750 0.750 0.750  -0.02
Dy1 0.000 0.000 0.000  -0.16

Output
formation enthalpy at 0 K: -5.6 kcal/mol of atoms
N(E_F): 2.07 states/eV/f.u.